PmTmSiS: relaxed, PBE.

Output
DOS(E_F) (states/eV/cell): 1.61
Energy (Ry per atom): -0.4436
Space group: R3m

abc: 4.0456 4.0456 7.0928
angles: 73.43 73.43 60.00
Closest atoms and distances in Å follow each position.
Element x y z (fractional)
Pm  0.6934  0.6934  0.9198  3 Si 2.91, 3 S 2.93
Tm  0.1942  0.1942  0.4174  3 S 2.83, 3 Si 2.83
Si  0.9406  0.9406  0.1782  3 Tm 2.83, 3 Pm 2.91
S  0.4482  0.4482  0.6554  3 Tm 2.83, 3 Pm 2.93